# KNiF3 GGA+U optimized geometry
# - total moment (μB/cell) = 4.00
# - density (g/cm3) = 2.22
# - total energy (eV per cell) = -41.3
data_KNiF3
_chemical_formula_sum 'K2 Ni2 F6'
_symmetry_space_group_name_H-M 'A m m 2'
_symmetry_Int_Tables_number 38
_cell_length_a 3.120
_cell_length_b 7.120
_cell_length_c 10.436
_cell_angle_alpha 90.00
_cell_angle_beta 90.00
_cell_angle_gamma 90.00
loop_
_symmetry_equiv_pos_as_xyz
'x,y,z'
'-x,-y,z'
'-x,y,z'
'x,-y,z'
'x,y+1/2,z+1/2'
'-x,-y+1/2,z+1/2'
'-x,y+1/2,z+1/2'
'x,-y+1/2,z+1/2'
loop_
_atom_site_label
_atom_site_fract_x
_atom_site_fract_y
_atom_site_fract_z
K1 0.000 0.000 0.000
Ni1 0.500 0.000 0.364
F1 0.000 0.178 0.396
F2 0.500 0.000 0.181